Entry 1:
# meta-GGA SCAN TaCr2W, single point on PBEsol structure
data_TaCr2W
_chemical_formula_sum 'Ta3 Cr6 W3'
_symmetry_space_group_name_H-M 'R -3 m'
_symmetry_Int_Tables_number 166
_symmetry_space_group_name_Hall '-R 3 2"'
_cell_length_a 2.9097
_cell_length_b 2.9097
_cell_length_c 23.6241
_cell_angle_alpha 90.00
_cell_angle_beta 90.00
_cell_angle_gamma 120.00
loop_
_atom_site_label
_atom_site_type_symbol
_atom_site_fract_x
_atom_site_fract_y
_atom_site_fract_z
Ta1 Ta 0.0000 0.0000 0.0000
Cr1 Cr 0.0000 0.0000 0.2477
W1 W 0.0000 0.0000 0.5000
# E_tot: -42.84 eV/atom
# ΔH_f (0 K): 0.416 eV per atom
# Spin magnetization: 0.00 μB/cell



Entry 2:
# meta-GGA SCAN TaCr4W, single point on PBEsol structure
data_TaCr4W
_chemical_formula_sum 'Ta4 Cr16 W4'
_symmetry_space_group_name_H-M 'F -4 3 m'
_symmetry_Int_Tables_number 216
_symmetry_space_group_name_Hall 'F -4 2 3'
_cell_length_a 6.790
_cell_length_b 6.790
_cell_length_c 6.790
_cell_angle_alpha 90.00
_cell_angle_beta 90.00
_cell_angle_gamma 90.00
loop_
_atom_site_label
_atom_site_type_symbol
_atom_site_fract_x
_atom_site_fract_y
_atom_site_fract_z
Ta1 Ta 0.000 0.000 0.000
Cr1 Cr 0.125 0.125 0.625
W1 W 0.250 0.250 0.250
# E_tot: -34.94 eV/atom
# ΔH_f (0 K): 0.028 eV per atom
# Spin magnetization: 0.01 μB/cell